# 1
VASP calculation (PBE-GGA) on an optimized crystal structure of Ho3MnAg3Se8.

The structure in POSCAR format:
```
Ho3MnAg3Se8
1.0
6.998 -4.040 0.000
6.998 4.040 0.000
-4.692 0.000 6.663
Ho Mn Ag Se
3 1 3 8
Direct
0.000 0.000 0.000
0.000 0.500 0.000
0.500 0.000 0.000
0.500 0.500 0.000
0.000 0.500 0.500
0.500 0.000 0.500
0.500 0.500 0.500
0.247 0.247 0.241
0.276 0.276 0.776
0.276 0.724 0.224
0.276 0.724 0.776
0.724 0.276 0.224
0.724 0.276 0.776
0.724 0.724 0.224
0.753 0.753 0.759
```

- Formation energy (no corrections): -0.971 eV per atom
- M_tot: 3.09 μB/f.u.
- Space-group type: No. 12

=====

# 2
VASP calculation (PBE-GGA) on an optimized crystal structure of BeReSi2.

The structure in POSCAR format:
```
BeReSi2
1.0
3.165 0.000 0.000
0.000 4.140 0.000
0.000 0.000 7.420
Be Re Si
2 2 4
Direct
0.000 0.000 0.000
0.500 0.500 0.500
0.000 0.000 0.500
0.500 0.500 0.000
0.000 0.500 0.270
0.000 0.500 0.730
0.500 0.000 0.230
0.500 0.000 0.770
```

- Formation energy (no corrections): -0.019 eV per atom
- M_tot: 0.00 μB/f.u.
- Space-group type: No. 71

=====

# 3
VASP calculation (PBE-GGA) on an optimized crystal structure of CaYOs2.

The structure in POSCAR format:
```
CaYOs2
1.0
4.270 0.000 0.000
0.000 4.514 0.000
0.000 0.000 10.151
Ca Y Os
2 2 4
Direct
0.000 0.000 0.000
0.000 0.500 0.500
0.500 0.000 0.716
0.500 0.500 0.216
0.000 0.000 0.299
0.000 0.500 0.799
0.500 0.000 0.402
0.500 0.500 0.902
```

- E_form: 0.056 eV/atom
- M_tot: 0.00 μB/f.u.
- Space-group type: No. 38

=====

# 4
VASP calculation (PBE-GGA) on an optimized crystal structure of Dy5Y6Th.

The structure in POSCAR format:
```
Dy5Y6Th
1.0
-2.517 5.040 7.571
2.517 -5.040 7.571
2.517 5.040 -7.571
Dy Y Th
5 6 1
Direct
0.000 0.000 0.000
0.167 0.667 0.500
0.334 0.334 0.000
0.666 0.666 0.000
0.833 0.333 0.500
0.086 0.835 0.251
0.253 0.500 0.753
0.416 0.165 0.251
0.584 0.835 0.749
0.747 0.500 0.247
0.914 0.165 0.749
0.500 0.000 0.500
```

- E_form: 0.030 eV/atom
- M_tot: 0.00 μB/f.u.
- Space-group type: No. 71

=====

# 5
VASP calculation (PBE-GGA) on an optimized crystal structure of YHo14Hf.

The structure in POSCAR format:
```
YHo14Hf
1.0
7.002 0.000 0.000
0.000 7.002 0.000
0.000 0.000 9.871
Y Ho Hf
1 14 1
Direct
0.000 0.000 0.000
0.000 0.000 0.500
0.000 0.500 0.000
0.000 0.500 0.500
0.255 0.255 0.245
0.255 0.255 0.755
0.255 0.745 0.245
0.255 0.745 0.755
0.500 0.000 0.000
0.500 0.000 0.500
0.500 0.500 0.500
0.745 0.255 0.245
0.745 0.255 0.755
0.745 0.745 0.245
0.745 0.745 0.755
0.500 0.500 0.000
```

- E_form: 0.049 eV/atom
- M_tot: 0.00 μB/f.u.
- Space-group type: No. 123

=====

# 6
VASP calculation (PBE-GGA) on an optimized crystal structure of Ac12Pr5Nd2.

The structure in POSCAR format:
```
Ac12Pr5Nd2
1.0
9.356 -4.813 0.000
9.356 4.813 0.000
-3.865 0.000 9.075
Ac Pr Nd
12 5 2
Direct
0.082 0.491 0.809
0.109 0.109 0.817
0.111 0.707 0.559
0.293 0.889 0.441
0.348 0.348 0.163
0.491 0.082 0.809
0.509 0.918 0.191
0.652 0.652 0.837
0.707 0.111 0.559
0.889 0.293 0.441
0.891 0.891 0.183
0.918 0.509 0.191
0.088 0.088 0.150
0.272 0.272 0.467
0.500 0.500 0.500
0.728 0.728 0.533
0.912 0.912 0.850
0.324 0.676 0.000
0.676 0.324 0.000
```

- E_form: 0.192 eV/atom
- M_tot: 0.00 μB/f.u.
- Space-group type: No. 12

=====

# 7
VASP calculation (PBE-GGA) on an optimized crystal structure of W3AuC.

The structure in POSCAR format:
```
W3AuC
1.0
4.177 0.000 0.000
0.000 4.177 0.000
0.000 0.000 4.177
W Au C
3 1 1
Direct
0.000 0.000 0.500
0.000 0.500 0.000
0.500 0.000 0.000
0.500 0.500 0.500
0.000 0.000 0.000
```

- E_form: 0.320 eV/atom
- M_tot: 0.00 μB/f.u.
- Space-group type: No. 221

=====

# 8
VASP calculation (PBE-GGA) on an optimized crystal structure of PaCd2TcO6.

The structure in POSCAR format:
```
PaCd2TcO6
1.0
5.905 0.000 0.000
0.000 5.905 0.000
0.000 0.000 4.272
Pa Cd Tc O
1 2 1 6
Direct
0.000 0.000 0.000
0.000 0.500 0.393
0.500 0.000 0.393
0.500 0.500 0.992
0.000 0.000 0.507
0.262 0.262 0.041
0.262 0.738 0.041
0.500 0.500 0.548
0.738 0.262 0.041
0.738 0.738 0.041
```

- Formation energy (no corrections): -1.712 eV per atom
- M_tot: 2.56 μB/f.u.
- Space-group type: No. 99

=====

# 9
VASP calculation (PBE-GGA) on an optimized crystal structure of Th5PaC4.

The structure in POSCAR format:
```
Th5PaC4
1.0
8.062 -1.834 0.000
8.062 1.834 0.000
-1.589 0.000 7.305
Th Pa C
5 1 4
Direct
0.000 0.000 0.000
0.335 0.335 0.661
0.341 0.341 0.188
0.659 0.659 0.812
0.665 0.665 0.339
0.000 0.000 0.500
0.162 0.162 0.577
0.498 0.498 0.266
0.502 0.502 0.734
0.838 0.838 0.423
```

- E_form: -0.291 eV/atom
- M_tot: 0.00 μB/f.u.
- Space-group type: No. 12

=====

# 10
VASP calculation (PBE-GGA) on an optimized crystal structure of TbYCd.

The structure in POSCAR format:
```
TbYCd
1.0
5.258 0.000 0.000
-2.629 4.554 0.000
0.000 0.000 3.590
Tb Y Cd
1 1 1
Direct
0.000 0.000 0.000
0.667 0.333 0.558
0.333 0.667 0.275
```

- E_form: -0.084 eV/atom
- M_tot: 0.00 μB/f.u.
- Space-group type: No. 156

=====

# 11
VASP calculation (PBE-GGA) on an optimized crystal structure of Tb2Sm2Th5.

The structure in POSCAR format:
```
Tb2Sm2Th5
1.0
6.017 0.000 0.000
1.480 5.845 0.000
2.007 2.023 8.708
Tb Sm Th
2 2 5
Direct
0.221 0.017 0.082
0.779 0.983 0.918
0.295 0.583 0.400
0.705 0.417 0.600
0.087 0.492 0.799
0.326 0.979 0.676
0.500 0.500 0.000
0.674 0.021 0.324
0.913 0.508 0.201
```

- E_form: 0.248 eV/atom
- M_tot: 0.00 μB/f.u.
- Space-group type: No. 2

=====

# 12
VASP calculation (PBE-GGA) on an optimized crystal structure of CoWCl2.

The structure in POSCAR format:
```
CoWCl2
1.0
3.049 0.000 0.000
-1.525 2.641 0.000
0.000 0.000 23.984
Co W Cl
3 3 6
Direct
0.000 0.000 0.000
0.333 0.667 0.667
0.667 0.333 0.333
0.000 0.000 0.500
0.333 0.667 0.167
0.667 0.333 0.833
0.000 0.000 0.401
0.000 0.000 0.599
0.333 0.667 0.067
0.333 0.667 0.266
0.667 0.333 0.734
0.667 0.333 0.933
```

- Formation energy (no corrections): 0.392 eV per atom
- M_tot: 1.84 μB/f.u.
- Space-group type: No. 166

=====

> Look up the M_tot of the sixth one.

0.00 μB/f.u.

=====

Repeat the twelfth record exactly.
VASP calculation (PBE-GGA) on an optimized crystal structure of CoWCl2.

The structure in POSCAR format:
```
CoWCl2
1.0
3.049 0.000 0.000
-1.525 2.641 0.000
0.000 0.000 23.984
Co W Cl
3 3 6
Direct
0.000 0.000 0.000
0.333 0.667 0.667
0.667 0.333 0.333
0.000 0.000 0.500
0.333 0.667 0.167
0.667 0.333 0.833
0.000 0.000 0.401
0.000 0.000 0.599
0.333 0.667 0.067
0.333 0.667 0.266
0.667 0.333 0.734
0.667 0.333 0.933
```

- Formation energy (no corrections): 0.392 eV per atom
- M_tot: 1.84 μB/f.u.
- Space-group type: No. 166